# 1
## NdRh2Au (PBE)

Data for an optimized crystal structure of NdRh2Au.

a b c (Å): 4.2864 4.2864 4.0215
angles (deg): 90.00 90.00 90.00
Space group P4/mmm (No. 123)
Asymmetric unit:
Nd 0.0000 0.0000 0.0000 [1 per cell]
Rh 0.0000 0.5000 0.5000 [2 per cell]
Au 0.5000 0.5000 0.0000 [1 per cell]

## Properties
crystal system = tetragonal
calculated total energy = -6.14 eV/atom
theoretical density = 12.3 g/cm³
ΔH_f (0 K) = -0.448 eV per atom

---

# 2
## Er2MgGe2Rh5 (PBE)

Data for an optimized crystal structure of Er2MgGe2Rh5.

a b c (Å): 9.8100 9.8100 3.5553
angles (deg): 90.00 90.00 90.00
Space group P4/mbm (No. 127)
Asymmetric unit:
Er 0.1730 0.3270 0.0000 [4 per cell]
Mg 0.0000 0.0000 0.0000 [2 per cell]
Ge 0.1263 0.6263 0.0000 [4 per cell]
Rh 0.0000 0.5000 0.5000 [2 per cell]
Rh 0.0678 0.7900 0.5000 [8 per cell]

## Properties
crystal system = tetragonal
calculated total energy = -6.47 eV/atom
theoretical density = 9.9 g/cm³
ΔH_f (0 K) = -0.800 eV per atom